Computed, not measured: a relaxed AcTb14Pr crystal at the PBE-GGA level of DFT.

Calculated values
* formation enthalpy at 0 K: 0.028 eV per atom
* mass density: 8.07 g/cm3
* size of the total moment: 0.00 μB per formula unit

```
data_AcTb14Pr
_chemical_formula_sum 'Ac1 Tb14 Pr1'
_symmetry_space_group_name_H-M 'P 1'
_symmetry_Int_Tables_number 1
_cell_length_a 7.313
_cell_length_b 7.313
_cell_length_c 11.497
_cell_angle_alpha 90.00
_cell_angle_beta 90.00
_cell_angle_gamma 119.79
loop_
_symmetry_equiv_pos_as_xyz
'x,y,z'
loop_
_atom_site_label
_atom_site_type_symbol
_atom_site_fract_x
_atom_site_fract_y
_atom_site_fract_z
_atom_site_occupancy
Ac1 Ac 0.165 0.835 0.000 1
Tb1 Tb 0.832 0.665 0.744 1
Tb2 Tb 0.832 0.665 0.256 1
Pr1 Pr 0.665 0.335 0.000 1
Tb3 Tb 0.166 0.834 0.500 1
Tb4 Tb 0.335 0.168 0.744 1
Tb5 Tb 0.166 0.334 0.500 1
Tb6 Tb 0.335 0.168 0.256 1
Tb7 Tb 0.168 0.334 0.000 1
Tb8 Tb 0.666 0.334 0.500 1
Tb9 Tb 0.335 0.665 0.746 1
Tb10 Tb 0.335 0.665 0.254 1
Tb11 Tb 0.666 0.834 0.500 1
Tb12 Tb 0.834 0.166 0.252 1
Tb13 Tb 0.666 0.832 0.000 1
Tb14 Tb 0.834 0.166 0.748 1
```

=====

Computed, not measured: a relaxed Ca4BeIr crystal at the PBE-GGA level of DFT.

Calculated values
* formation enthalpy at 0 K: 0.968 eV per atom
* mass density: 3.98 g/cm3
* size of the total moment: 0.00 μB per formula unit

```
data_Ca4BeIr
_chemical_formula_sum 'Ca4 Be1 Ir1'
_symmetry_space_group_name_H-M 'P 1'
_symmetry_Int_Tables_number 1
_cell_length_a 5.976
_cell_length_b 5.976
_cell_length_c 5.976
_cell_angle_alpha 60.00
_cell_angle_beta 60.00
_cell_angle_gamma 60.00
loop_
_symmetry_equiv_pos_as_xyz
'x,y,z'
loop_
_atom_site_label
_atom_site_type_symbol
_atom_site_fract_x
_atom_site_fract_y
_atom_site_fract_z
_atom_site_occupancy
Ca1 Ca 0.376 0.376 0.376 1
Be1 Be 0.000 0.000 0.000 1
Ca2 Ca 0.376 0.872 0.376 1
Ca3 Ca 0.872 0.376 0.376 1
Ca4 Ca 0.376 0.376 0.872 1
Ir1 Ir 0.750 0.750 0.750 1
```

=====

Computed, not measured: a relaxed Nd8Si3SeBr4 crystal at the PBE-GGA level of DFT.

Calculated values
* mass density: 5.89 g/cm3
* size of the total moment: 0.00 μB per formula unit
* uncorrected formation energy: -1.208 eV per atom

```
data_Nd8Si3SeBr4
_chemical_formula_sum 'Nd8 Si3 Se1 Br4'
_symmetry_space_group_name_H-M 'P 1'
_symmetry_Int_Tables_number 1
_cell_length_a 8.533
_cell_length_b 8.820
_cell_length_c 8.533
_cell_angle_alpha 118.93
_cell_angle_beta 120.00
_cell_angle_gamma 90.00
loop_
_symmetry_equiv_pos_as_xyz
'x,y,z'
loop_
_atom_site_label
_atom_site_type_symbol
_atom_site_fract_x
_atom_site_fract_y
_atom_site_fract_z
_atom_site_occupancy
Nd1 Nd 0.274 0.291 0.033 1
Br1 Br 0.500 0.000 0.500 1
Nd2 Nd 0.726 0.709 0.967 1
Br2 Br 0.000 0.000 0.000 1
Nd3 Nd 0.758 0.291 0.517 1
Br3 Br 0.500 0.000 0.000 1
Si1 Si 0.000 0.500 0.500 1
Nd4 Nd 0.737 0.710 0.474 1
Se1 Se 0.000 0.500 0.000 1
Nd5 Nd 0.263 0.290 0.526 1
Nd6 Nd 0.758 0.291 0.033 1
Si2 Si 0.500 0.500 0.500 1
Si3 Si 0.500 0.500 0.000 1
Nd7 Nd 0.242 0.709 0.483 1
Nd8 Nd 0.242 0.709 0.967 1
Br4 Br 0.000 0.000 0.500 1
```